# AlNiRu2Se GGA-PBE optimized geometry
data_AlNiRu2Se
_chemical_formula_sum 'Al1 Ni1 Ru2 Se1'
_cell_length_a 4.5235
_cell_length_b 4.5235
_cell_length_c 4.2379
_cell_angle_alpha 90.00
_cell_angle_beta 90.00
_cell_angle_gamma 90.00
_symmetry_space_group_name_H-M 'P 4/m m m'
_symmetry_Int_Tables_number 123
_symmetry_space_group_name_Hall '-P 4 2'
loop_
_atom_site_label
_atom_site_type_symbol
_atom_site_fract_x
_atom_site_fract_y
_atom_site_fract_z
Al1 Al 0.0000 0.0000 0.0000
Ni1 Ni 0.0000 0.0000 0.5000
Ru1 Ru 0.0000 0.5000 0.0000
Se1 Se 0.5000 0.5000 0.5000
# Raw formation energy (meV/atom): 1049

# AlSiNiRu GGA-PBE optimized geometry
data_AlSiNiRu
_chemical_formula_sum 'Al4 Si4 Ni4 Ru4'
_cell_length_a 5.8367
_cell_length_b 5.8367
_cell_length_c 5.8367
_cell_angle_alpha 90.00
_cell_angle_beta 90.00
_cell_angle_gamma 90.00
_symmetry_space_group_name_H-M 'F -4 3 m'
_symmetry_Int_Tables_number 216
_symmetry_space_group_name_Hall 'F -4 2 3'
loop_
_atom_site_label
_atom_site_type_symbol
_atom_site_fract_x
_atom_site_fract_y
_atom_site_fract_z
Al1 Al 0.0000 0.0000 0.0000
Si1 Si 0.0000 0.0000 0.5000
Ni1 Ni 0.2500 0.2500 0.7500
Ru1 Ru 0.2500 0.2500 0.2500
# Raw formation energy (meV/atom): -530

# TaAlNiRu GGA-PBE optimized geometry
data_TaAlNiRu
_chemical_formula_sum 'Ta4 Al4 Ni4 Ru4'
_cell_length_a 6.1189
_cell_length_b 6.1189
_cell_length_c 6.1189
_cell_angle_alpha 90.00
_cell_angle_beta 90.00
_cell_angle_gamma 90.00
_symmetry_space_group_name_H-M 'F -4 3 m'
_symmetry_Int_Tables_number 216
_symmetry_space_group_name_Hall 'F -4 2 3'
loop_
_atom_site_label
_atom_site_type_symbol
_atom_site_fract_x
_atom_site_fract_y
_atom_site_fract_z
Ta1 Ta 0.0000 0.0000 0.0000
Al1 Al 0.0000 0.0000 0.5000
Ni1 Ni 0.2500 0.2500 0.7500
Ru1 Ru 0.2500 0.2500 0.2500
# Energy of formation (eV/f.u.): -2.0

# TmAlNiRu GGA-PBE optimized geometry
data_TmAlNiRu
_chemical_formula_sum 'Tm4 Al4 Ni4 Ru4'
_cell_length_a 6.3156
_cell_length_b 6.3156
_cell_length_c 6.3156
_cell_angle_alpha 90.00
_cell_angle_beta 90.00
_cell_angle_gamma 90.00
_symmetry_space_group_name_H-M 'F -4 3 m'
_symmetry_Int_Tables_number 216
_symmetry_space_group_name_Hall 'F -4 2 3'
loop_
_atom_site_label
_atom_site_type_symbol
_atom_site_fract_x
_atom_site_fract_y
_atom_site_fract_z
Tm1 Tm 0.0000 0.0000 0.0000
Al1 Al 0.0000 0.0000 0.5000
Ni1 Ni 0.2500 0.2500 0.7500
Ru1 Ru 0.2500 0.2500 0.2500
# Energy of formation (eV/f.u.): -2.0

# U3Al3NiRu2 GGA-PBE optimized geometry
data_U3Al3NiRu2
_chemical_formula_sum 'U3 Al3 Ni1 Ru2'
_cell_length_a 6.8437
_cell_length_b 6.8437
_cell_length_c 4.0085
_cell_angle_alpha 90.00
_cell_angle_beta 90.00
_cell_angle_gamma 120.00
_symmetry_space_group_name_H-M 'P -6 2 m'
_symmetry_Int_Tables_number 189
_symmetry_space_group_name_Hall 'P -6 -2'
loop_
_atom_site_label
_atom_site_type_symbol
_atom_site_fract_x
_atom_site_fract_y
_atom_site_fract_z
U1 U 0.0000 0.4208 0.0000
Al1 Al 0.0000 0.7684 0.5000
Ni1 Ni 0.0000 0.0000 0.0000
Ru1 Ru 0.3333 0.6667 0.5000
# Energy of formation (eV/f.u.): -3.3

# AlVNiRu GGA-PBE optimized geometry
data_AlVNiRu
_chemical_formula_sum 'Al4 V4 Ni4 Ru4'
_cell_length_a 5.9307
_cell_length_b 5.9307
_cell_length_c 5.9307
_cell_angle_alpha 90.00
_cell_angle_beta 90.00
_cell_angle_gamma 90.00
_symmetry_space_group_name_H-M 'F -4 3 m'
_symmetry_Int_Tables_number 216
_symmetry_space_group_name_Hall 'F -4 2 3'
loop_
_atom_site_label
_atom_site_type_symbol
_atom_site_fract_x
_atom_site_fract_y
_atom_site_fract_z
Al1 Al 0.0000 0.0000 0.0000
V1 V 0.0000 0.0000 0.5000
Ni1 Ni 0.2500 0.2500 0.2500
Ru1 Ru 0.2500 0.2500 0.7500
# Energy of formation (eV/f.u.): -1.8

# AlNiRuW GGA-PBE optimized geometry
data_AlNiRuW
_chemical_formula_sum 'Al4 Ni4 Ru4 W4'
_cell_length_a 6.0575
_cell_length_b 6.0575
_cell_length_c 6.0575
_cell_angle_alpha 90.00
_cell_angle_beta 90.00
_cell_angle_gamma 90.00
_symmetry_space_group_name_H-M 'F -4 3 m'
_symmetry_Int_Tables_number 216
_symmetry_space_group_name_Hall 'F -4 2 3'
loop_
_atom_site_label
_atom_site_type_symbol
_atom_site_fract_x
_atom_site_fract_y
_atom_site_fract_z
Al1 Al 0.0000 0.0000 0.0000
Ni1 Ni 0.2500 0.2500 0.2500
Ru1 Ru 0.2500 0.2500 0.7500
W1 W 0.0000 0.0000 0.5000
# Energy of formation (eV/f.u.): -0.8

# AlZnNiRu GGA-PBE optimized geometry
data_AlZnNiRu
_chemical_formula_sum 'Al4 Zn4 Ni4 Ru4'
_cell_length_a 5.9152
_cell_length_b 5.9152
_cell_length_c 5.9152
_cell_angle_alpha 90.00
_cell_angle_beta 90.00
_cell_angle_gamma 90.00
_symmetry_space_group_name_H-M 'F -4 3 m'
_symmetry_Int_Tables_number 216
_symmetry_space_group_name_Hall 'F -4 2 3'
loop_
_atom_site_label
_atom_site_type_symbol
_atom_site_fract_x
_atom_site_fract_y
_atom_site_fract_z
Al1 Al 0.0000 0.0000 0.0000
Zn1 Zn 0.0000 0.0000 0.5000
Ni1 Ni 0.2500 0.2500 0.2500
Ru1 Ru 0.2500 0.2500 0.7500
# ΔE to the lowest computed polymorph (meV per atom): 19
# Energy of formation (eV/f.u.): -1.6